# PBE Ac2ThSn, relaxed
# Offset from the most stable computed form ... 0.0000 eV/atom
# Volume ... 34.61 A^3/atom
# Formation energy from the elements ... -249 meV per atom
# Energy ... -20.63 eV for the cell shown
data_Ac2ThSn
_chemical_formula_sum 'Ac2 Th1 Sn1'
_cell_length_a 5.166
_cell_length_b 5.166
_cell_length_c 5.188
_cell_angle_alpha 90.00
_cell_angle_beta 90.00
_cell_angle_gamma 90.00
_symmetry_space_group_name_H-M 'P 4/m m m'
_symmetry_Int_Tables_number 123
_symmetry_space_group_name_Hall '-P 4 2'
loop_
_atom_site_label
_atom_site_type_symbol
_atom_site_fract_x
_atom_site_fract_y
_atom_site_fract_z
Ac1 Ac 0.000 0.500 0.000
Th1 Th 0.000 0.000 0.500
Sn1 Sn 0.500 0.500 0.500

---

# PBE BeAlCl2, relaxed
# Offset from the most stable computed form ... 0.2369 eV/atom
# Volume ... 27.88 A^3/atom
# Energy ... -25.63 eV for the cell shown
# Uncorrected formation energy ... -0.41 eV per atom
data_BeAlCl2
_chemical_formula_sum 'Be2 Al2 Cl4'
_cell_length_a 3.010
_cell_length_b 6.100
_cell_length_c 12.144
_cell_angle_alpha 90.00
_cell_angle_beta 90.00
_cell_angle_gamma 90.00
_symmetry_space_group_name_H-M 'C m m m'
_symmetry_Int_Tables_number 65
_symmetry_space_group_name_Hall '-C 2 2'
loop_
_atom_site_label
_atom_site_type_symbol
_atom_site_fract_x
_atom_site_fract_y
_atom_site_fract_z
Be1 Be 0.000 0.000 0.000
Al1 Al 0.000 0.000 0.500
Cl1 Cl 0.000 0.500 0.120

---

# PBE La3PmHo, relaxed
# Offset from the most stable computed form ... 0.0893 eV/atom
# Volume ... 36.32 A^3/atom
# Formation energy from the elements ... 282 meV per atom
# Energy ... -90.81 eV for the cell shown
data_La3PmHo
_chemical_formula_sum 'La12 Pm4 Ho4'
_cell_length_a 7.903
_cell_length_b 13.709
_cell_length_c 6.704
_cell_angle_alpha 90.00
_cell_angle_beta 90.00
_cell_angle_gamma 90.00
_symmetry_space_group_name_H-M 'C m c m'
_symmetry_Int_Tables_number 63
_symmetry_space_group_name_Hall '-C 2c 2'
loop_
_atom_site_label
_atom_site_type_symbol
_atom_site_fract_x
_atom_site_fract_y
_atom_site_fract_z
La1 La 0.000 0.199 0.250
La2 La 0.201 0.400 0.250
Pm1 Pm 0.000 0.000 0.000
Ho1 Ho 0.000 0.334 0.750

---

# PBE YScSnPd, relaxed
# Volume ... 22.43 A^3/atom
# Formation energy from the elements ... -731 meV per atom
# Energy ... -99.66 eV for the cell shown
data_YScSnPd
_chemical_formula_sum 'Y4 Sc4 Sn4 Pd4'
_cell_length_a 7.107
_cell_length_b 7.107
_cell_length_c 7.107
_cell_angle_alpha 90.00
_cell_angle_beta 90.00
_cell_angle_gamma 90.00
_symmetry_space_group_name_H-M 'F -4 3 m'
_symmetry_Int_Tables_number 216
_symmetry_space_group_name_Hall 'F -4 2 3'
loop_
_atom_site_label
_atom_site_type_symbol
_atom_site_fract_x
_atom_site_fract_y
_atom_site_fract_z
Y1 Y 0.000 0.000 0.000
Sc1 Sc 0.000 0.000 0.500
Sn1 Sn 0.250 0.250 0.750
Pd1 Pd 0.250 0.250 0.250

---

# PBE Tl2GaHgAu, relaxed
# Volume ... 32.02 A^3/atom
# Formation energy from the elements ... 104 meV per atom
# Energy ... -10.82 eV for the cell shown
data_Tl2GaHgAu
_chemical_formula_sum 'Tl2 Ga1 Hg1 Au1'
_cell_length_a 5.709
_cell_length_b 5.709
_cell_length_c 4.913
_cell_angle_alpha 90.00
_cell_angle_beta 90.00
_cell_angle_gamma 90.00
_symmetry_space_group_name_H-M 'P 4/m m m'
_symmetry_Int_Tables_number 123
_symmetry_space_group_name_Hall '-P 4 2'
loop_
_atom_site_label
_atom_site_type_symbol
_atom_site_fract_x
_atom_site_fract_y
_atom_site_fract_z
Tl1 Tl 0.000 0.500 0.000
Ga1 Ga 0.000 0.000 0.500
Hg1 Hg 0.500 0.500 0.500
Au1 Au 0.000 0.000 0.000

---

# PBE SrTl2I2Cl2, relaxed
# Volume ... 41.19 A^3/atom
# Energy ... -45.32 eV for the cell shown
# Uncorrected formation energy ... -1.35 eV per atom
data_SrTl2I2Cl2
_chemical_formula_sum 'Sr2 Tl4 I4 Cl4'
_cell_length_a 5.579
_cell_length_b 5.579
_cell_length_c 18.524
_cell_angle_alpha 90.00
_cell_angle_beta 90.00
_cell_angle_gamma 90.00
_symmetry_space_group_name_H-M 'I 4/m m m'
_symmetry_Int_Tables_number 139
_symmetry_space_group_name_Hall '-I 4 2'
loop_
_atom_site_label
_atom_site_type_symbol
_atom_site_fract_x
_atom_site_fract_y
_atom_site_fract_z
Sr1 Sr 0.000 0.000 0.000
Tl1 Tl 0.000 0.000 0.360
I1 I 0.000 0.000 0.178
Cl1 Cl 0.000 0.500 0.000

---

# PBE YCd9Ni3, relaxed
# Volume ... 19.46 A^3/atom
# Formation energy from the elements ... -78 meV per atom
# Energy ... -66.12 eV for the cell shown
data_YCd9Ni3
_chemical_formula_sum 'Y2 Cd18 Ni6'
_cell_length_a 5.490
_cell_length_b 13.729
_cell_length_c 7.229
_cell_angle_alpha 90.00
_cell_angle_beta 111.81
_cell_angle_gamma 90.00
_symmetry_space_group_name_H-M 'C 1 2/m 1'
_symmetry_Int_Tables_number 12
loop_
_symmetry_equiv_pos_as_xyz
'x,y,z'
'-x,-y,-z'
'-x,y,-z'
'x,-y,z'
'x+1/2,y+1/2,z'
'-x+1/2,-y+1/2,-z'
'-x+1/2,y+1/2,-z'
'x+1/2,-y+1/2,z'
loop_
_atom_site_label
_atom_site_type_symbol
_atom_site_fract_x
_atom_site_fract_y
_atom_site_fract_z
Y1 Y 0.000 0.000 0.000
Cd1 Cd 0.000 0.000 0.500
Cd2 Cd 0.093 0.389 0.212
Cd3 Cd 0.166 0.174 0.326
Ni1 Ni 0.000 0.500 0.500
Ni2 Ni 0.250 0.250 0.000

---

# PBE HoPuInCu, relaxed
# Volume ... 24.38 A^3/atom
# Formation energy from the elements ... -84 meV per atom
# Energy ... -104.32 eV for the cell shown
data_HoPuInCu
_chemical_formula_sum 'Ho4 Pu4 In4 Cu4'
_cell_length_a 7.307
_cell_length_b 7.307
_cell_length_c 7.307
_cell_angle_alpha 90.00
_cell_angle_beta 90.00
_cell_angle_gamma 90.00
_symmetry_space_group_name_H-M 'F -4 3 m'
_symmetry_Int_Tables_number 216
_symmetry_space_group_name_Hall 'F -4 2 3'
loop_
_atom_site_label
_atom_site_type_symbol
_atom_site_fract_x
_atom_site_fract_y
_atom_site_fract_z
Ho1 Ho 0.000 0.000 0.000
Pu1 Pu 0.000 0.000 0.500
In1 In 0.250 0.250 0.750
Cu1 Cu 0.250 0.250 0.250

---

# PBE Mg3CuW, relaxed
# Offset from the most stable computed form ... 0.0000 eV/atom
# Volume ... 20.64 A^3/atom
# Formation energy from the elements ... 1027 meV per atom
# Energy ... -16.70 eV for the cell shown
data_Mg3CuW
_chemical_formula_sum 'Mg3 Cu1 W1'
_cell_length_a 4.691
_cell_length_b 4.691
_cell_length_c 4.691
_cell_angle_alpha 90.00
_cell_angle_beta 90.00
_cell_angle_gamma 90.00
_symmetry_space_group_name_H-M 'P m -3 m'
_symmetry_Int_Tables_number 221
_symmetry_space_group_name_Hall '-P 4 2 3'
loop_
_atom_site_label
_atom_site_type_symbol
_atom_site_fract_x
_atom_site_fract_y
_atom_site_fract_z
Mg1 Mg 0.000 0.000 0.500
Cu1 Cu 0.000 0.000 0.000
W1 W 0.500 0.500 0.500

---

# PBE PmCdRh, relaxed
# Offset from the most stable computed form ... 0.0845 eV/atom
# Volume ... 24.97 A^3/atom
# Formation energy from the elements ... -442 meV per atom
# Energy ... -57.37 eV for the cell shown
data_PmCdRh
_chemical_formula_sum 'Pm4 Cd4 Rh4'
_cell_length_a 6.692
_cell_length_b 6.692
_cell_length_c 6.692
_cell_angle_alpha 90.00
_cell_angle_beta 90.00
_cell_angle_gamma 90.00
_symmetry_space_group_name_H-M 'F -4 3 m'
_symmetry_Int_Tables_number 216
_symmetry_space_group_name_Hall 'F -4 2 3'
loop_
_atom_site_label
_atom_site_type_symbol
_atom_site_fract_x
_atom_site_fract_y
_atom_site_fract_z
Pm1 Pm 0.000 0.000 0.000
Cd1 Cd 0.000 0.000 0.500
Rh1 Rh 0.250 0.250 0.250

---

# PBE LiSb2Cl, relaxed
# Offset from the most stable computed form ... 0.0000 eV/atom
# Volume ... 35.31 A^3/atom
# Energy ... -30.54 eV for the cell shown
# Uncorrected formation energy ... -0.82 eV per atom
data_LiSb2Cl
_chemical_formula_sum 'Li2 Sb4 Cl2'
_cell_length_a 7.051
_cell_length_b 4.070
_cell_length_c 10.093
_cell_angle_alpha 90.00
_cell_angle_beta 102.79
_cell_angle_gamma 90.00
_symmetry_space_group_name_H-M 'C 1 m 1'
_symmetry_Int_Tables_number 8
loop_
_symmetry_equiv_pos_as_xyz
'x,y,z'
'x,-y,z'
'x+1/2,y+1/2,z'
'x+1/2,-y+1/2,z'
loop_
_atom_site_label
_atom_site_type_symbol
_atom_site_fract_x
_atom_site_fract_y
_atom_site_fract_z
Li1 Li 0.000 0.000 0.000
Sb1 Sb 0.182 0.000 0.585
Sb2 Sb 0.461 0.000 0.416
Cl1 Cl 0.167 0.500 0.000

---

# PBE InPtCl2, relaxed
# Offset from the most stable computed form ... 0.2057 eV/atom
# Volume ... 25.17 A^3/atom
# Energy ... -26.80 eV for the cell shown
# Uncorrected formation energy ... -0.23 eV per atom
data_InPtCl2
_chemical_formula_sum 'In2 Pt2 Cl4'
_cell_length_a 3.628
_cell_length_b 5.760
_cell_length_c 9.636
_cell_angle_alpha 90.00
_cell_angle_beta 90.00
_cell_angle_gamma 90.00
_symmetry_space_group_name_H-M 'I m m m'
_symmetry_Int_Tables_number 71
_symmetry_space_group_name_Hall '-I 2 2'
loop_
_atom_site_label
_atom_site_type_symbol
_atom_site_fract_x
_atom_site_fract_y
_atom_site_fract_z
In1 In 0.000 0.000 0.000
Pt1 Pt 0.000 0.000 0.500
Cl1 Cl 0.000 0.500 0.170